# Sm2Ho3In3 | the Alexandria database | GGA-PBE | relaxed
data_Sm2Ho3In3
_symmetry_space_group_name_H-M 'P 1'
_symmetry_Int_Tables_number 1
_cell_length_a 4.907
_cell_length_b 4.948
_cell_length_c 9.215
_cell_angle_alpha 90.00
_cell_angle_beta 90.00
_cell_angle_gamma 90.00
loop_
_symmetry_equiv_pos_as_xyz
'x,y,z'
loop_
_atom_site_label
_atom_site_fract_x
_atom_site_fract_y
_atom_site_fract_z
Sm1 0.000 0.000 0.242
Sm2 0.000 0.000 0.758
Ho1 0.500 0.000 0.500
Ho2 0.500 0.500 0.232
Ho3 0.500 0.500 0.768
In1 0.000 0.500 0.000
In2 0.000 0.500 0.500
In3 0.500 0.000 0.000
# * SG: Pmmm


# SmHo8In6 | the Alexandria database | GGA-PBE | relaxed
data_SmHo8In6
_symmetry_space_group_name_H-M 'P 1'
_symmetry_Int_Tables_number 1
_cell_length_a 8.307
_cell_length_b 8.307
_cell_length_c 8.307
_cell_angle_alpha 65.84
_cell_angle_beta 65.84
_cell_angle_gamma 65.84
loop_
_symmetry_equiv_pos_as_xyz
'x,y,z'
loop_
_atom_site_label
_atom_site_fract_x
_atom_site_fract_y
_atom_site_fract_z
Sm1 0.000 0.000 0.000
Ho1 0.113 0.780 0.446
Ho2 0.220 0.554 0.887
Ho3 0.333 0.333 0.333
Ho4 0.446 0.113 0.780
Ho5 0.554 0.887 0.220
Ho6 0.667 0.667 0.667
Ho7 0.780 0.446 0.113
Ho8 0.887 0.220 0.554
In1 0.060 0.397 0.723
In2 0.277 0.940 0.603
In3 0.397 0.723 0.060
In4 0.603 0.277 0.940
In5 0.723 0.060 0.397
In6 0.940 0.603 0.277
# * SG: R-3


# Sm4HoIn5 | the Alexandria database | GGA-PBE | relaxed
data_Sm4HoIn5
_symmetry_space_group_name_H-M 'P 1'
_symmetry_Int_Tables_number 1
_cell_length_a 3.809
_cell_length_b 3.809
_cell_length_c 19.111
_cell_angle_alpha 90.00
_cell_angle_beta 90.00
_cell_angle_gamma 90.00
loop_
_symmetry_equiv_pos_as_xyz
'x,y,z'
loop_
_atom_site_label
_atom_site_fract_x
_atom_site_fract_y
_atom_site_fract_z
Sm1 0.000 0.000 0.101
Sm2 0.000 0.000 0.304
Sm3 0.000 0.000 0.696
Sm4 0.000 0.000 0.899
Ho1 0.000 0.000 0.500
In1 0.500 0.500 0.000
In2 0.500 0.500 0.202
In3 0.500 0.500 0.406
In4 0.500 0.500 0.594
In5 0.500 0.500 0.798
# * SG: P4/mmm


# SmHoIn4 | the Alexandria database | GGA-PBE | relaxed
data_SmHoIn4
_symmetry_space_group_name_H-M 'P 1'
_symmetry_Int_Tables_number 1
_cell_length_a 6.017
_cell_length_b 6.017
_cell_length_c 6.017
_cell_angle_alpha 60.00
_cell_angle_beta 60.00
_cell_angle_gamma 60.00
loop_
_symmetry_equiv_pos_as_xyz
'x,y,z'
loop_
_atom_site_label
_atom_site_fract_x
_atom_site_fract_y
_atom_site_fract_z
Sm1 0.000 0.000 0.000
Ho1 0.250 0.250 0.250
In1 0.125 0.625 0.625
In2 0.625 0.125 0.625
In3 0.625 0.625 0.125
In4 0.625 0.625 0.625
# * ΔE to the lowest computed polymorph: 0 meV per atom
# * SG: F-43m


Energy of formation from the pure elements
In order: -348 -206 -484 -351
Unit: meV/atom